1.
First-principles (PBE) data for a relaxed structure of ErScAlTc, as listed in the Alexandria database.

a b c (Å): 4.805 4.805 4.805
angles (deg): 60.00 60.00 60.00
Atoms (fractional coordinates):
Tc: 0.750 0.750 0.750
Sc: 0.000 0.000 0.000
Er: 0.500 0.500 0.500
Al: 0.250 0.250 0.250

DFT total energy, eV per atom: -6.51
Formation enthalpy at 0 K, eV per atom: -0.259



2.
First-principles (PBE) data for a relaxed structure of ErScTiAl, as listed in the Alexandria database.

a b c (Å): 4.979 4.979 4.979
angles (deg): 60.00 60.00 60.00
Atoms (fractional coordinates):
Al: 0.750 0.750 0.750
Er: 0.000 0.000 0.000
Sc: 0.500 0.500 0.500
Ti: 0.250 0.250 0.250

DFT total energy, eV per atom: -5.73
Formation enthalpy at 0 K, eV per atom: -0.093



3.
First-principles (PBE) data for a relaxed structure of ErTmScAl, as listed in the Alexandria database.

a b c (Å): 5.186 5.186 5.186
angles (deg): 60.00 60.00 60.00
Atoms (fractional coordinates):
Al: 0.500 0.500 0.500
Tm: 0.750 0.750 0.750
Sc: 0.000 0.000 0.000
Er: 0.250 0.250 0.250

DFT total energy, eV per atom: -4.88
ΔE to the lowest computed polymorph, eV per atom: 0.097
Formation enthalpy at 0 K, eV per atom: -0.107



4.
First-principles (PBE) data for a relaxed structure of ErTmScAl, as listed in the Alexandria database.

a b c (Å): 4.546 4.647 4.644
angles (deg): 90.00 90.00 90.00
Atoms (fractional coordinates):
Tm: 0.500 0.500 0.000
Sc: 0.000 0.500 0.500
Al: 0.000 0.000 0.000
Er: 0.500 0.000 0.500

DFT total energy, eV per atom: -4.98
ΔE to the lowest computed polymorph, eV per atom: 0.000
Formation enthalpy at 0 K, eV per atom: -0.204



5.
First-principles (PBE) data for a relaxed structure of ErScAlV, as listed in the Alexandria database.

a b c (Å): 4.916 4.916 4.916
angles (deg): 60.00 60.00 60.00
Atoms (fractional coordinates):
V: 0.000 0.000 0.000
Er: 0.750 0.750 0.750
Sc: 0.250 0.250 0.250
Al: 0.500 0.500 0.500

DFT total energy, eV per atom: -6.02
Formation enthalpy at 0 K, eV per atom: -0.079



6.
First-principles (PBE) data for a relaxed structure of YErScAl, as listed in the Alexandria database.

a b c (Å): 5.222 5.222 5.222
angles (deg): 60.00 60.00 60.00
Atoms (fractional coordinates):
Y: 0.750 0.750 0.750
Sc: 0.500 0.500 0.500
Al: 0.000 0.000 0.000
Er: 0.250 0.250 0.250

DFT total energy, eV per atom: -5.39
ΔE to the lowest computed polymorph, eV per atom: 0.086
Formation enthalpy at 0 K, eV per atom: -0.111



7.
First-principles (PBE) data for a relaxed structure of YErScAl, as listed in the Alexandria database.

a b c (Å): 4.567 4.692 4.676
angles (deg): 90.00 90.00 90.00
Atoms (fractional coordinates):
Er: 0.000 0.500 0.500
Al: 0.500 0.000 0.500
Y: 0.000 0.000 0.000
Sc: 0.500 0.500 0.000

DFT total energy, eV per atom: -5.47
ΔE to the lowest computed polymorph, eV per atom: 0.000
Formation enthalpy at 0 K, eV per atom: -0.198



8.
First-principles (PBE) data for a relaxed structure of ErZrScAl, as listed in the Alexandria database.

a b c (Å): 5.044 5.044 5.044
angles (deg): 60.00 60.00 60.00
Atoms (fractional coordinates):
Al: 0.500 0.500 0.500
Er: 0.250 0.250 0.250
Zr: 0.750 0.750 0.750
Sc: 0.000 0.000 0.000

DFT total energy, eV per atom: -5.88
Formation enthalpy at 0 K, eV per atom: -0.082



9.
First-principles (PBE) data for a relaxed structure of Er4AlSe3, as listed in the Alexandria database.

a b c (Å): 3.976 7.175 7.175
angles (deg): 108.53 90.00 90.00
Atoms (fractional coordinates):
Er: 0.000 0.249 0.249
Er: 0.500 0.245 0.755
Er: 0.500 0.755 0.245
Er: 0.000 0.751 0.751
Se: 0.500 0.500 0.500
Se: 0.000 0.000 0.500
Se: 0.000 0.500 0.000
Al: 0.500 0.000 0.000

Energy relative to the elements, uncorrected, eV/atom: -1.35
DFT total energy, eV per atom: -5.40



10.
First-principles (PBE) data for a relaxed structure of Er3AlSe2, as listed in the Alexandria database.

a b c (Å): 3.939 5.813 7.292
angles (deg): 113.49 105.67 90.00
Atoms (fractional coordinates):
Er: 0.670 0.670 0.340
Er: 0.000 0.000 0.000
Er: 0.330 0.330 0.660
Se: 0.333 0.833 0.666
Se: 0.667 0.167 0.334
Al: 0.000 0.500 0.000

Energy relative to the elements, uncorrected, eV/atom: -1.25
DFT total energy, eV per atom: -5.32



11.
First-principles (PBE) data for a relaxed structure of Er2AlSe4, as listed in the Alexandria database.

a b c (Å): 3.977 7.040 7.467
angles (deg): 118.82 105.45 90.00
Atoms (fractional coordinates):
Se: 0.622 0.276 0.245
Se: 0.112 0.796 0.223
Se: 0.378 0.724 0.755
Se: 0.888 0.204 0.777
Er: 0.734 0.747 0.468
Er: 0.266 0.253 0.532
Al: 0.000 0.000 0.000

Energy relative to the elements, uncorrected, eV/atom: -1.40
DFT total energy, eV per atom: -5.23



12.
First-principles (PBE) data for a relaxed structure of Er8AlSe6, as listed in the Alexandria database.

a b c (Å): 3.954 10.468 10.468
angles (deg): 120.00 90.00 90.00
Atoms (fractional coordinates):
Er: 0.249 0.034 0.724
Er: 0.751 0.310 0.034
Er: 0.249 0.690 0.966
Er: 0.751 0.966 0.276
Er: 0.249 0.276 0.310
Er: 0.250 0.667 0.333
Er: 0.751 0.724 0.690
Er: 0.750 0.333 0.667
Se: 0.253 0.518 0.648
Se: 0.747 0.482 0.352
Se: 0.747 0.648 0.130
Se: 0.253 0.352 0.870
Se: 0.747 0.870 0.518
Se: 0.253 0.130 0.482
Al: 0.500 0.000 0.000

Energy relative to the elements, uncorrected, eV/atom: -1.23
DFT total energy, eV per atom: -5.31



- The lowest DFT total energy belongs to which entry?
  ErScAlTc



- Which of these has the lowest DFT total energy?
  ErScAlTc



- What is the formula in the eleventh record?
  Er2AlSe4